! GdSeCl | Alexandria | PBE | optimized geometry; values from VASP
&SYSTEM
  ibrav = 0, nat = 3, ntyp = 3
/
ATOMIC_SPECIES
Gd 157.25 Gd.upf
Se 78.96 Se.upf
Cl 35.45 Cl.upf
CELL_PARAMETERS angstrom
-1.789 1.789 6.764
1.789 -1.789 6.764
1.789 1.789 -6.764
ATOMIC_POSITIONS angstrom
Gd 0.000 0.000 0.000
Se 0.000 0.000 5.301
Cl 0.000 0.000 8.536
! **N(E_F)**: 0.70 states/eV per cell
! **V**: 87 Å³ per cell
! **Total moment**: 7.0 μB per formula unit
! **Symmetry**: I4mm
! **Formation energy from raw total energies**: -1.732 eV per atom



! SmGd3Cl | Alexandria | PBE | optimized geometry; values from VASP
&SYSTEM
  ibrav = 0, nat = 5, ntyp = 3
/
ATOMIC_SPECIES
Sm 150.36 Sm.upf
Gd 157.25 Gd.upf
Cl 35.45 Cl.upf
CELL_PARAMETERS angstrom
5.365 0.000 0.000
0.000 5.365 0.000
0.000 0.000 5.365
ATOMIC_POSITIONS angstrom
Sm 0.000 0.000 0.000
Gd 0.000 2.683 2.683
Gd 2.683 0.000 2.683
Gd 2.683 2.683 0.000
Cl 2.683 2.683 2.683
! **N(E_F)**: 5.93 states/eV per cell
! **V**: 154 Å³ per cell
! **Total moment**: 21.5 μB per formula unit
! **Symmetry**: Pm-3m
! **Formation energy from raw total energies**: -0.459 eV per atom



! Sm2GdCl | Alexandria | PBE | optimized geometry; values from VASP
&SYSTEM
  ibrav = 0, nat = 4, ntyp = 3
/
ATOMIC_SPECIES
Sm 150.36 Sm.upf
Gd 157.25 Gd.upf
Cl 35.45 Cl.upf
CELL_PARAMETERS angstrom
1.828 1.055 10.156
-1.828 1.055 10.156
0.000 -2.111 10.156
ATOMIC_POSITIONS angstrom
Sm 0.000 0.000 7.287
Sm 0.000 0.000 23.180
Gd 0.000 0.000 0.000
Cl 0.000 0.000 15.233
! **N(E_F)**: 4.18 states/eV per cell
! **V**: 118 Å³ per cell
! **Total moment**: 7.4 μB per formula unit
! **Symmetry**: R-3m
! **Formation energy from raw total energies**: -0.665 eV per atom



! SmGd2Cl | Alexandria | PBE | optimized geometry; values from VASP
&SYSTEM
  ibrav = 0, nat = 4, ntyp = 3
/
ATOMIC_SPECIES
Sm 150.36 Sm.upf
Gd 157.25 Gd.upf
Cl 35.45 Cl.upf
CELL_PARAMETERS angstrom
1.826 1.055 10.039
-1.826 1.055 10.039
0.000 -2.109 10.039
ATOMIC_POSITIONS angstrom
Sm 0.000 0.000 0.000
Gd 0.000 0.000 7.185
Gd 0.000 0.000 22.933
Cl 0.000 0.000 15.059
! **N(E_F)**: 5.09 states/eV per cell
! **V**: 116 Å³ per cell
! **Total moment**: 14.3 μB per formula unit
! **Symmetry**: R-3m
! **Formation energy from raw total energies**: -0.671 eV per atom



! TbGdCl | Alexandria | PBE | optimized geometry; values from VASP
&SYSTEM
  ibrav = 0, nat = 3, ntyp = 3
/
ATOMIC_SPECIES
Tb 158.93 Tb.upf
Gd 157.25 Gd.upf
Cl 35.45 Cl.upf
CELL_PARAMETERS angstrom
3.703 0.000 0.000
-1.851 3.207 0.000
0.000 0.000 7.008
ATOMIC_POSITIONS angstrom
Tb 0.000 0.000 0.000
Gd 0.000 2.138 4.322
Cl 1.852 1.069 2.136
! **N(E_F)**: 3.02 states/eV per cell
! **V**: 83 Å³ per cell
! **Total moment**: 7.6 μB per formula unit
! **Symmetry**: P3m1
! **Formation energy from raw total energies**: -0.915 eV per atom



! Gd2TeCl | Alexandria | PBE | optimized geometry; values from VASP
&SYSTEM
  ibrav = 0, nat = 4, ntyp = 3
/
ATOMIC_SPECIES
Gd 157.25 Gd.upf
Te 127.60 Te.upf
Cl 35.45 Cl.upf
CELL_PARAMETERS angstrom
2.059 1.189 9.188
-2.059 1.189 9.188
0.000 -2.378 9.188
ATOMIC_POSITIONS angstrom
Gd 0.000 0.000 2.656
Gd 0.000 0.000 24.909
Te 0.000 0.000 13.782
Cl 0.000 0.000 0.000
! **N(E_F)**: 7.13 states/eV per cell
! **V**: 135 Å³ per cell
! **Total moment**: 14.1 μB per formula unit
! **Symmetry**: R-3m
! **Formation energy from raw total energies**: -1.198 eV per atom



! Gd2ThCl | Alexandria | PBE | optimized geometry; values from VASP
&SYSTEM
  ibrav = 0, nat = 4, ntyp = 3
/
ATOMIC_SPECIES
Gd 157.25 Gd.upf
Th 232.04 Th.upf
Cl 35.45 Cl.upf
CELL_PARAMETERS angstrom
1.826 1.054 9.861
-1.826 1.054 9.861
0.000 -2.108 9.861
ATOMIC_POSITIONS angstrom
Gd 0.000 0.000 7.108
Gd 0.000 0.000 22.475
Th 0.000 0.000 0.000
Cl 0.000 0.000 14.791
! **N(E_F)**: 4.09 states/eV per cell
! **V**: 114 Å³ per cell
! **Total moment**: 14.1 μB per formula unit
! **Symmetry**: R-3m
! **Formation energy from raw total energies**: -0.698 eV per atom



! GdTlCl2 | Alexandria | PBE | optimized geometry; values from VASP
&SYSTEM
  ibrav = 0, nat = 4, ntyp = 3
/
ATOMIC_SPECIES
Gd 157.25 Gd.upf
Tl 204.38 Tl.upf
Cl 35.45 Cl.upf
CELL_PARAMETERS angstrom
1.828 1.055 10.420
-1.828 1.055 10.420
0.000 -2.111 10.420
ATOMIC_POSITIONS angstrom
Gd 0.000 0.000 0.000
Tl 0.000 0.000 15.630
Cl 0.000 0.000 12.250
Cl 0.000 0.000 19.011
! **N(E_F)**: 4.12 states/eV per cell
! **V**: 121 Å³ per cell
! **Total moment**: 7.3 μB per formula unit
! **Symmetry**: R-3m
! **Formation energy from raw total energies**: -1.361 eV per atom



! GdTl2Cl4 | Alexandria | PBE | optimized geometry; values from VASP
&SYSTEM
  ibrav = 0, nat = 7, ntyp = 3
/
ATOMIC_SPECIES
Gd 157.25 Gd.upf
Tl 204.38 Tl.upf
Cl 35.45 Cl.upf
CELL_PARAMETERS angstrom
-2.703 2.703 8.506
2.703 -2.703 8.506
2.703 2.703 -8.506
ATOMIC_POSITIONS angstrom
Gd 0.000 0.000 0.000
Tl 0.000 0.000 5.798
Tl 0.000 0.000 11.214
Cl 2.703 0.000 0.000
Cl 0.000 0.000 2.703
Cl 0.000 2.703 0.000
Cl 0.000 0.000 14.309
! **N(E_F)**: 8.03 states/eV per cell
! **V**: 249 Å³ per cell
! **Total moment**: 6.7 μB per formula unit
! **Symmetry**: I4/mmm
! **Formation energy from raw total energies**: -1.415 eV per atom



! Gd2TlCl | Alexandria | PBE | optimized geometry; values from VASP
&SYSTEM
  ibrav = 0, nat = 4, ntyp = 3
/
ATOMIC_SPECIES
Gd 157.25 Gd.upf
Tl 204.38 Tl.upf
Cl 35.45 Cl.upf
CELL_PARAMETERS angstrom
1.971 1.138 7.861
-1.971 1.138 7.861
0.000 -2.276 7.861
ATOMIC_POSITIONS angstrom
Gd 0.000 0.000 5.571
Gd 0.000 0.000 18.011
Tl 0.000 0.000 0.000
Cl 0.000 0.000 11.791
! **N(E_F)**: 2.85 states/eV per cell
! **V**: 106 Å³ per cell
! **Total moment**: 13.9 μB per formula unit
! **Symmetry**: R-3m
! **Formation energy from raw total energies**: -0.806 eV per atom



! Gd2TmCl | Alexandria | PBE | optimized geometry; values from VASP
&SYSTEM
  ibrav = 0, nat = 4, ntyp = 3
/
ATOMIC_SPECIES
Gd 157.25 Gd.upf
Tm 168.93 Tm.upf
Cl 35.45 Cl.upf
CELL_PARAMETERS angstrom
1.811 1.046 9.993
-1.811 1.046 9.993
0.000 -2.091 9.993
ATOMIC_POSITIONS angstrom
Gd 0.000 0.000 7.189
Gd 0.000 0.000 22.789
Tm 0.000 0.000 0.000
Cl 0.000 0.000 14.989
! **N(E_F)**: 6.57 states/eV per cell
! **V**: 114 Å³ per cell
! **Total moment**: 14.9 μB per formula unit
! **Symmetry**: R-3m
! **Formation energy from raw total energies**: -0.662 eV per atom



! Gd3TmCl | Alexandria | PBE | optimized geometry; values from VASP
&SYSTEM
  ibrav = 0, nat = 5, ntyp = 3
/
ATOMIC_SPECIES
Gd 157.25 Gd.upf
Tm 168.93 Tm.upf
Cl 35.45 Cl.upf
CELL_PARAMETERS angstrom
5.326 0.000 0.000
0.000 5.326 0.000
0.000 0.000 5.326
ATOMIC_POSITIONS angstrom
Gd 0.000 0.000 2.663
Gd 0.000 2.663 0.000
Gd 2.663 0.000 0.000
Tm 2.663 2.663 2.663
Cl 0.000 0.000 0.000
! **N(E_F)**: 6.10 states/eV per cell
! **V**: 151 Å³ per cell
! **Total moment**: 21.6 μB per formula unit
! **Symmetry**: Pm-3m
! **Formation energy from raw total energies**: -0.439 eV per atom